Density functional theory data (GGA-PBEsol) for an optimized crystal structure of CdRh3.

The structure in POSCAR format:
```
CdRh3
1.0
-1.1807 2.3704 0.7363
-2.1627 -0.5823 -1.5934
-3.4343 -3.5627 5.9629
Cd Rh
1 3
direct
0.0000 0.0000 0.0000
0.0000 0.0000 0.5000
0.5000 0.5000 0.7294
0.5000 0.5000 0.2706
```

Summary:
DFT formation energy   0.011 eV per atom
Space group   P4/mmm
Uncorrected energy   -6.39 eV/atom


Density functional theory data (GGA-PBEsol) for an optimized crystal structure of Ca2ZrRu.

The structure in POSCAR format:
```
Ca2ZrRu
1.0
4.0392 0.0000 0.0000
0.0000 4.0392 0.0000
0.0000 0.0000 5.2269
Ca Zr Ru
2 1 1
direct
0.0000 0.5000 0.0000
0.5000 0.0000 0.0000
0.0000 0.0000 0.5000
0.5000 0.5000 0.5000
```

Summary:
DFT formation energy   0.325 eV per atom
Space group   P4/mmm
Distance to the lowest polymorph of the same formula   0.377 eV/atom
Uncorrected energy   -5.56 eV/atom


Density functional theory data (GGA-PBEsol) for an optimized crystal structure of AlHgRh2.

The structure in POSCAR format:
```
AlHgRh2
1.0
2.9211 0.0000 0.0000
0.0000 4.5565 -0.1075
-1.4605 -1.6802 4.5944
Rh Al Hg
2 1 1
direct
0.7547 0.3237 0.5093
0.0054 0.9386 0.0109
0.4883 0.4220 0.9766
0.2516 0.8158 0.5032
```

Summary:
DFT formation energy   -0.243 eV per atom
Space group   Cm
Distance to the lowest polymorph of the same formula   0.266 eV/atom
Uncorrected energy   -5.48 eV/atom


Density functional theory data (GGA-PBEsol) for an optimized crystal structure of YCoBr2.

The structure in POSCAR format:
```
YCoBr2
1.0
-3.4145 0.9249 -0.9906
0.7680 -1.1454 -3.7165
-0.5009 -6.8404 2.1516
Br Y Co
2 1 1
direct
0.8526 0.7399 0.7053
0.1474 0.2601 0.2947
0.5000 0.5000 0.0000
0.0000 0.0000 0.0000
```

Summary:
Space group   C2/m
Distance to the lowest polymorph of the same formula   0.000 eV/atom
Uncorrected energy   -5.33 eV/atom


no.,density (Mg/m³)
1,11.9
2,5.3
3,11.9
4,5.0